# 1
DFT (PBE) results for a relaxed LiPm2GaAu6 crystal.

## Properties
Calculated formation energy ... -0.499 eV/atom
Final energy ... -3.91 eV/atom

Lattice parameters (Å, degrees): 5.5474 6.7158 6.8494 72.68 66.30 65.70
Closest atoms and distances in Å follow each position.
Element x y z (fractional)
Li: 0.0000 0.0000 0.0000  6 Au 2.51-2.72
Pm: 0.4922 0.7513 0.2658  7 Au 3.09-3.19, 2 Ga 3.39-3.40
Pm: 0.5078 0.2487 0.7342  7 Au 3.09-3.19, 2 Ga 3.39-3.40
Ga: 0.0000 0.5000 0.5000  6 Au 2.56-2.86
Au: 0.0105 0.3073 0.1745  1 Li 2.70, 4 Au 2.76-2.95, 1 Ga 2.86
Au: 0.1615 0.0776 0.5945  1 Li 2.51, 1 Ga 2.56
Au: 0.4935 0.6932 0.8228  1 Li 2.72, 4 Au 2.76-2.98, 1 Ga 2.86
Au: 0.5065 0.3068 0.1772  1 Li 2.72, 4 Au 2.76-2.98, 1 Ga 2.86
Au: 0.8385 0.9224 0.4055  1 Li 2.51, 1 Ga 2.56
Au: 0.9895 0.6927 0.8255  1 Li 2.70, 4 Au 2.76-2.95, 1 Ga 2.86

---

# 2
DFT (PBE) results for a relaxed LiPmGa2Au crystal.

## Properties
Calculated formation energy ... -0.570 eV/atom
Final energy ... -3.77 eV/atom

Lattice parameters (Å, degrees): 6.2849 6.2849 6.2849 140.57 140.57 56.99
Closest atoms and distances in Å follow each position.
Element x y z (fractional)
Li: 0.0000 0.0000 0.0000  4 Ga 2.61
Pm: 0.7500 0.2500 0.5000  8 Ga 3.24, 4 Li 3.48, 4 Au 3.48
Ga: 0.1381 0.6381 0.5000  1 Ga 2.47, 2 Li 2.61, 2 Au 2.61
Ga: 0.3619 0.8619 0.5000  1 Ga 2.47, 2 Li 2.61, 2 Au 2.61
Au: 0.5000 0.5000 0.0000  4 Ga 2.61

---

# 3
DFT (PBE) results for a relaxed LiPmGa2Au2 crystal.

## Properties
Calculated formation energy ... -0.649 eV/atom
Final energy ... -3.86 eV/atom

Lattice parameters (Å, degrees): 4.5229 4.5229 6.6334 90.00 90.00 120.00
Closest atoms and distances in Å follow each position.
Element x y z (fractional)
Li: 0.0000 0.0000 0.0000  6 Ga 2.94, 6 Au 2.99
Pm: 0.0000 0.0000 0.5000  6 Au 3.21, 6 Ga 3.27, 2 Li 3.32
Ga: 0.3333 0.6667 0.7955  4 Au 2.61-2.81
Ga: 0.6667 0.3333 0.2045  4 Au 2.61-2.81
Au: 0.3333 0.6667 0.2185  4 Ga 2.61-2.81
Au: 0.6667 0.3333 0.7815  4 Ga 2.61-2.81